This record from Alexandria describes BeTePt2 after structural relaxation. The functional is PBE.

Computed properties:
**Relative energy among the computed polymorphs**: 194 meV per atom
**Magnetic moment**: 0.000 μB per atom
**Density of states at the Fermi level**: 0.42 states/eV per atom
**E_form (uncorrected)**: -145 meV per atom

a = 3.6963 Å, b = 3.6132 Å, c = 5.3254 Å
α = 90.00°, β = 108.51°, γ = 90.00°
Last column: nearest neighbours and their distance in Å.
Space group P2/m (No. 10)
Asymmetric unit:
1 Be 0.0000 0.0000 0.0000 [1 per cell]  4 Pt 2.28
2 Te 0.5000 0.0000 0.5000 [1 per cell]  2 Be 2.72, 8 Pt 2.93-3.03
3 Pt 0.1566 0.5000 0.7942 [2 per cell]  2 Be 2.28

***

This record from Alexandria describes BeTePt2 after structural relaxation. The functional is PBE.

Computed properties:
**Relative energy among the computed polymorphs**: 228 meV per atom
**Magnetic moment**: 0.000 μB per atom
**Density of states at the Fermi level**: 0.32 states/eV per atom
**E_form (uncorrected)**: -111 meV per atom

a = 3.6587 Å, b = 5.0727 Å, c = 7.2744 Å
α = 90.00°, β = 90.00°, γ = 90.00°
Last column: nearest neighbours and their distance in Å.
Space group Immm (No. 71)
Asymmetric unit:
1 Be 0.0000 0.0000 0.0000 [2 per cell]  4 Pt 2.31
2 Te 0.0000 0.0000 0.5000 [2 per cell]  8 Pt 2.88-2.90, 4 Be 3.13
3 Pt 0.0000 0.5000 0.3062 [4 per cell]  2 Be 2.31

***

This record from Alexandria describes BeTePt2 after structural relaxation. The functional is PBE.

Computed properties:
**Relative energy among the computed polymorphs**: 137 meV per atom
**Magnetic moment**: 0.000 μB per atom
**Density of states at the Fermi level**: 0.33 states/eV per atom
**E_form (uncorrected)**: -202 meV per atom

a = 4.5846 Å, b = 13.0589 Å, c = 3.1107 Å
α = 90.00°, β = 132.59°, γ = 90.00°
Last column: nearest neighbours and their distance in Å.
Space group C2 (No. 5)
Asymmetric unit:
1 Be 0.0000 0.0000 0.0000 [2 per cell]  6 Pt 2.31-2.43
2 Te 0.0000 0.2602 0.5000 [2 per cell]  6 Pt 2.81-2.93, 2 Te 3.11
3 Pt 0.0000 0.4398 0.0000 [2 per cell]  4 Be 2.42-2.43
4 Pt 0.0000 0.6207 0.5000 [2 per cell]  2 Be 2.31

***

This record from Alexandria describes Be2TePt after structural relaxation. The functional is PBE.

Computed properties:
**Magnetic moment**: 0.000 μB per atom
**Density of states at the Fermi level**: 0.40 states/eV per atom
**E_form (uncorrected)**: 38 meV per atom

a = 3.0920 Å, b = 3.0920 Å, c = 6.5805 Å
α = 90.00°, β = 90.00°, γ = 90.00°
Last column: nearest neighbours and their distance in Å.
Space group P4/mmm (No. 123)
Asymmetric unit:
1 Be 0.0000 0.0000 0.1645 [2 per cell]  1 Be 2.17
2 Te 0.5000 0.5000 0.5000 [1 per cell]  4 Te 3.09, 8 Be 3.11, 2 Pt 3.29
3 Pt 0.5000 0.5000 0.0000 [1 per cell]  8 Be 2.44

***

This record from Alexandria describes BeTe4Pt after structural relaxation. The functional is PBE.

Computed properties:
**Magnetic moment**: 0.000 μB per atom
**Density of states at the Fermi level**: 1.00 states/eV per atom
**E_form (uncorrected)**: 1153 meV per atom

a = 8.7077 Å, b = 8.7077 Å, c = 8.7077 Å
α = 90.00°, β = 90.00°, γ = 90.00°
Last column: nearest neighbours and their distance in Å.
Space group F-43m (No. 216)
Asymmetric unit:
1 Be 0.0000 0.0000 0.0000 [4 per cell]  12 Te 3.61, 4 Pt 3.77
2 Te 0.1242 0.1242 0.3758 [16 per cell]  6 Te 3.06-3.10
3 Pt 0.2500 0.2500 0.7500 [4 per cell]  12 Te 3.61, 4 Be 3.77

***

This record from Alexandria describes BeTePt2 after structural relaxation. The functional is PBE.

Computed properties:
**Relative energy among the computed polymorphs**: 0 meV per atom
**Magnetic moment**: 0.000 μB per atom
**Density of states at the Fermi level**: 0.54 states/eV per atom
**E_form (uncorrected)**: -339 meV per atom

a = 3.7500 Å, b = 3.7500 Å, c = 5.6121 Å
α = 90.00°, β = 90.00°, γ = 120.00°
Last column: nearest neighbours and their distance in Å.
Space group P-3m1 (No. 164)
Asymmetric unit:
1 Be 0.0000 0.0000 0.0000 [1 per cell]  6 Pt 2.35
2 Te 0.0000 0.0000 0.5000 [1 per cell]  2 Be 2.81, 6 Pt 2.88
3 Pt 0.3333 0.6667 0.1621 [2 per cell]  3 Be 2.35

***

This record from Alexandria describes Be2TePt after structural relaxation. The functional is PBE.

Computed properties:
**Magnetic moment**: 0.000 μB per atom
**Density of states at the Fermi level**: 0.00 states/eV per atom
**E_form (uncorrected)**: -87 meV per atom

a = 5.3503 Å, b = 5.3503 Å, c = 10.8450 Å
α = 90.00°, β = 90.00°, γ = 90.00°
Last column: nearest neighbours and their distance in Å.
Space group I-42d (No. 122)
Asymmetric unit:
1 Be 0.2141 0.2500 0.1250 [8 per cell]  2 Pt 2.22, 2 Te 2.44
2 Te 0.0000 0.0000 0.5000 [4 per cell]  4 Be 2.44
3 Pt 0.0000 0.0000 0.0000 [4 per cell]  4 Be 2.22

***

This record from Alexandria describes BeTePt2 after structural relaxation. The functional is PBE.

Computed properties:
**Relative energy among the computed polymorphs**: 401 meV per atom
**Magnetic moment**: 0.000 μB per atom
**Density of states at the Fermi level**: 0.38 states/eV per atom
**E_form (uncorrected)**: 62 meV per atom

a = 5.5240 Å, b = 8.8683 Å, c = 3.9614 Å
α = 90.00°, β = 134.05°, γ = 90.00°
Last column: nearest neighbours and their distance in Å.
Space group C2/m (No. 12)
Asymmetric unit:
1 Be 0.0000 0.0000 0.0000 [2 per cell]  4 Pt 2.63, 4 Te 2.76-2.85
2 Te 0.0000 0.5000 0.0000 [2 per cell]  4 Pt 2.63, 4 Be 2.76-2.85
3 Pt 0.2500 0.2500 0.5000 [4 per cell]  2 Te 2.63, 2 Be 2.63, 4 Pt 2.76-2.85

***

This record from Alexandria describes BeTePt2 after structural relaxation. The functional is PBE.

Computed properties:
**Relative energy among the computed polymorphs**: 400 meV per atom
**Magnetic moment**: 0.000 μB per atom
**Density of states at the Fermi level**: 0.56 states/eV per atom
**E_form (uncorrected)**: 60 meV per atom

a = 3.9139 Å, b = 3.9139 Å, c = 8.5277 Å
α = 90.00°, β = 90.00°, γ = 90.00°
Last column: nearest neighbours and their distance in Å.
Space group I-4m2 (No. 119)
Asymmetric unit:
1 Be 0.0000 0.0000 0.0000 [2 per cell]  8 Pt 2.77-2.89, 4 Te 2.89
2 Te 0.0000 0.5000 0.2500 [2 per cell]  8 Pt 2.77-2.89, 4 Be 2.89
3 Pt 0.0000 0.0000 0.5000 [2 per cell]  4 Be 2.77, 4 Pt 2.89, 4 Te 2.89
4 Pt 0.0000 0.5000 0.7500 [2 per cell]  4 Te 2.77, 4 Pt 2.89, 4 Be 2.89

***

This record from Alexandria describes Be2TePt after structural relaxation. The functional is PBE.

Computed properties:
**Magnetic moment**: 0.000 μB per atom
**Density of states at the Fermi level**: 0.26 states/eV per atom
**E_form (uncorrected)**: 220 meV per atom

a = 5.9401 Å, b = 5.7982 Å, c = 3.5948 Å
α = 90.00°, β = 102.01°, γ = 90.00°
Last column: nearest neighbours and their distance in Å.
Space group C2/m (No. 12)
Asymmetric unit:
1 Be 0.2500 0.2500 0.0000 [4 per cell]  2 Te 2.53, 2 Pt 2.53
2 Te 0.0000 0.0000 0.5000 [2 per cell]  4 Be 2.53
3 Pt 0.0000 0.5000 0.5000 [2 per cell]  4 Be 2.53

***

This record from Alexandria describes BeTePt2 after structural relaxation. The functional is PBE.

Computed properties:
**Relative energy among the computed polymorphs**: 442 meV per atom
**Magnetic moment**: 0.000 μB per atom
**Density of states at the Fermi level**: 0.64 states/eV per atom
**E_form (uncorrected)**: 103 meV per atom

a = 6.4029 Å, b = 6.4029 Å, c = 6.4029 Å
α = 90.00°, β = 90.00°, γ = 90.00°
Last column: nearest neighbours and their distance in Å.
Space group Fm-3m (No. 225)
Asymmetric unit:
1 Be 0.0000 0.0000 0.0000 [4 per cell]  8 Pt 2.77
2 Te 0.0000 0.0000 0.5000 [4 per cell]  8 Pt 2.77
3 Pt 0.2500 0.2500 0.2500 [8 per cell]  4 Te 2.77, 4 Be 2.77

***

This record from Alexandria describes BeTePt4 after structural relaxation. The functional is PBE.

Computed properties:
**Magnetic moment**: 0.000 μB per atom
**Density of states at the Fermi level**: 0.33 states/eV per atom
**E_form (uncorrected)**: 295 meV per atom

a = 7.5164 Å, b = 7.5164 Å, c = 7.5164 Å
α = 90.00°, β = 90.00°, γ = 90.00°
Last column: nearest neighbours and their distance in Å.
Space group F-43m (No. 216)
Asymmetric unit:
1 Be 0.0000 0.0000 0.0000 [4 per cell]  12 Pt 3.12, 4 Te 3.25
2 Te 0.2500 0.2500 0.7500 [4 per cell]  12 Pt 3.12, 4 Be 3.25
3 Pt 0.1253 0.1253 0.3747 [16 per cell]  6 Pt 2.65-2.66

***

This record from Alexandria describes Be2TePt after structural relaxation. The functional is PBE.

Computed properties:
**Magnetic moment**: 0.000 μB per atom
**Density of states at the Fermi level**: 0.31 states/eV per atom
**E_form (uncorrected)**: 271 meV per atom

a = 3.5196 Å, b = 3.5196 Å, c = 9.9784 Å
α = 90.00°, β = 90.00°, γ = 90.00°
Last column: nearest neighbours and their distance in Å.
Space group I-4m2 (No. 119)
Asymmetric unit:
1 Be 0.0000 0.0000 0.0000 [2 per cell]  4 Te 2.49
2 Be 0.0000 0.5000 0.2500 [2 per cell]  4 Pt 2.49
3 Te 0.0000 0.0000 0.5000 [2 per cell]  4 Be 2.49
4 Pt 0.0000 0.5000 0.7500 [2 per cell]  4 Be 2.49

***

This record from Alexandria describes Be2TePt after structural relaxation. The functional is PBE.

Computed properties:
**Magnetic moment**: 0.000 μB per atom
**Density of states at the Fermi level**: 0.32 states/eV per atom
**E_form (uncorrected)**: -128 meV per atom

a = 3.9384 Å, b = 7.5710 Å, c = 4.4220 Å
α = 90.00°, β = 90.00°, γ = 90.00°
Last column: nearest neighbours and their distance in Å.
Space group Cmmm (No. 65)
Asymmetric unit:
1 Be 0.0000 0.1841 0.0000 [4 per cell]  2 Be 2.21, 3 Pt 2.39-2.41
2 Te 0.0000 0.0000 0.5000 [2 per cell]  4 Be 2.61
3 Pt 0.0000 0.5000 0.0000 [2 per cell]  6 Be 2.39-2.41

***

This record from Alexandria describes Be2TePt after structural relaxation. The functional is PBE.

Computed properties:
**Magnetic moment**: 0.000 μB per atom
**Density of states at the Fermi level**: 0.18 states/eV per atom
**E_form (uncorrected)**: 62 meV per atom

a = 3.5575 Å, b = 3.5575 Å, c = 17.4930 Å
α = 90.00°, β = 90.00°, γ = 120.00°
Last column: nearest neighbours and their distance in Å.
Space group R-3m (No. 166, hexagonal axes)
Asymmetric unit:
1 Be 0.0000 0.0000 0.2306 [6 per cell]  3 Pt 2.34
2 Te 0.0000 0.0000 0.0000 [3 per cell]  6 Be 2.73
3 Pt 0.0000 0.0000 0.5000 [3 per cell]  6 Be 2.34